Record 1
This record from the Alexandria database describes a geometry-optimized PmGa3Os structure. The functional is PBE-GGA.

abc: 6.5134 6.5134 6.5134
angles: 90.00 90.00 90.00
Fractional coordinates of all 15 atoms:
Pm1 0.0000 0.0000 0.5000
Pm2 0.0000 0.5000 0.0000
Pm3 0.5000 0.0000 0.0000
Ga1 0.0000 0.0000 0.0000
Ga2 0.2925 0.2925 0.2925
Ga3 0.2925 0.2925 0.7075
Ga4 0.2925 0.7075 0.2925
Ga5 0.2925 0.7075 0.7075
Ga6 0.7075 0.2925 0.2925
Ga7 0.7075 0.2925 0.7075
Ga8 0.7075 0.7075 0.2925
Ga9 0.7075 0.7075 0.7075
Os1 0.0000 0.5000 0.5000
Os2 0.5000 0.0000 0.5000
Os3 0.5000 0.5000 0.0000

Properties
For the energy relative to the elements, the calculation gives -0.464 eV per atom.

---

Record 2
This record from the Alexandria database describes a geometry-optimized Sr4Pa3ZnAs8 structure. The functional is PBE-GGA.

abc: 8.5972 8.5972 8.5972
angles: 59.17 59.17 59.17
Fractional coordinates of all 16 atoms:
Sr1 0.0000 0.0000 0.0000
Sr2 0.0000 0.5000 0.5000
Sr3 0.5000 0.0000 0.5000
Sr4 0.5000 0.5000 0.0000
Pa1 0.0000 0.0000 0.5000
Pa2 0.0000 0.5000 0.0000
Pa3 0.5000 0.0000 0.0000
Zn1 0.5000 0.5000 0.5000
As1 0.2340 0.7392 0.7392
As2 0.2396 0.2396 0.2396
As3 0.2608 0.2608 0.7660
As4 0.2608 0.7660 0.2608
As5 0.7392 0.2340 0.7392
As6 0.7392 0.7392 0.2340
As7 0.7604 0.7604 0.7604
As8 0.7660 0.2608 0.2608

Properties
For the energy relative to the elements, the calculation gives -0.968 eV per atom.

---

Record 3
This record from the Alexandria database describes a geometry-optimized MgPb2Au structure. The functional is PBE-GGA.

abc: 4.7102 4.7102 4.4737
angles: 90.00 90.00 90.00
Fractional coordinates of all 4 atoms:
Mg1 0.0000 0.0000 0.0000
Pb1 0.0000 0.5000 0.5000
Pb2 0.5000 0.0000 0.5000
Au1 0.5000 0.5000 0.0000

Properties
For the energy relative to the elements, the calculation gives -0.062 eV per atom.

---

Record 4
This record from the Alexandria database describes a geometry-optimized Tb5PmPr6 structure. The functional is PBE-GGA.

abc: 9.6413 9.6413 9.6413
angles: 148.86 115.82 73.05
Fractional coordinates of all 12 atoms:
Tb1 0.0000 0.0000 0.0000
Tb2 0.1667 0.6667 0.5000
Tb3 0.3327 0.3327 0.0000
Tb4 0.6673 0.6673 0.0000
Tb5 0.8333 0.3333 0.5000
Pm1 0.5000 0.0000 0.5000
Pr1 0.0825 0.8332 0.2493
Pr2 0.2489 0.5000 0.7489
Pr3 0.4161 0.1668 0.2493
Pr4 0.5839 0.8332 0.7507
Pr5 0.7511 0.5000 0.2511
Pr6 0.9175 0.1668 0.7507

Properties
For the energy relative to the elements, the calculation gives 0.014 eV per atom.

---

no.,ρ (g/cm3)
1,9.8
2,6.4
3,10.6
4,7.2